(1)
# Sc6MnGa5

Sc6MnGa5 after structural relaxation (PBE, Alexandria).

Cell lengths 4.7136, 6.5997, 14.0561 Å; angles 90.00, 90.00, 90.00 degrees
Last column: nearest neighbours and their distance in Å.
Space group Immm (No. 71)
One atom of each set of equivalent atoms:
Sc (0.0000, 0.2414, 0.0000)  6 Ga 2.81-2.91, 2 Mn 2.84
Sc (0.0000, 0.2560, 0.3380)  1 Mn 2.79, 7 Ga 2.84-2.97
Mn (0.0000, 0.5000, 0.5000)  8 Sc 2.79-2.84
Ga (0.0000, 0.0000, 0.1647)  8 Sc 2.81-2.97
Ga (0.0000, 0.0000, 0.5000)  8 Sc 2.84-2.91
Ga (0.0000, 0.5000, 0.1674)  8 Sc 2.89-2.91

Spin magnetization: 0.000 μB per atom
Volume: 437 Å³ per cell
Calculated formation energy: -0.520 eV per atom


(2)
# Sc3MnGa3

Sc3MnGa3 after structural relaxation (PBE, Alexandria).

Cell lengths 10.3459, 4.1221, 13.2447 Å; angles 90.00, 109.36, 90.00 degrees
Last column: nearest neighbours and their distance in Å.
Space group C2/m (No. 12)
One atom of each set of equivalent atoms:
Sc (0.0237, 0.0000, 0.3803)  6 Ga 2.84-2.97, 4 Mn 2.98-3.13
Sc (0.1040, 0.0000, 0.9219)  7 Ga 2.87-3.07
Sc (0.2359, 0.0000, 0.2288)  6 Ga 2.83-3.02, 2 Mn 3.05
Mn (0.2392, 0.5000, 0.3995)  4 Ga 2.43-2.56
Ga (0.0242, 0.5000, 0.2331)  1 Mn 2.56, 1 Ga 2.56, 2 Sc 2.84
Ga (0.1153, 0.5000, 0.0753)  2 Ga 2.55-2.56
Ga (0.1319, 0.5000, 0.5465)  3 Mn 2.43-2.54, 1 Ga 2.60

Spin magnetization: 0.349 μB per atom
Volume: 533 Å³ per cell
Calculated formation energy: -0.474 eV per atom


(3)
# ScMnGa2

ScMnGa2 after structural relaxation (PBE, Alexandria).

Cell lengths 6.6982, 4.0104, 9.4759 Å; angles 90.00, 90.00, 90.00 degrees
Last column: nearest neighbours and their distance in Å.
Space group Pnma (No. 62)
One atom of each set of equivalent atoms:
Sc (0.2101, 0.2500, 0.1744)  1 Mn 2.74, 8 Ga 2.80-3.05
Mn (0.0399, 0.7500, 0.4450)  2 Mn 2.32, 1 Ga 2.43
Ga (0.0842, 0.2500, 0.8202)  3 Ga 2.56-2.78, 2 Mn 2.65-2.78, 4 Sc 2.80-2.81
Ga (0.1999, 0.7500, 0.9663)  3 Mn 2.43-2.66, 2 Ga 2.56

Spin magnetization: 0.000 μB per atom
Volume: 255 Å³ per cell
Calculated formation energy: -0.345 eV per atom